[1]
LiCu2Ru | PBE | optimized geometry

As for the space group: F-43m (216). The total energy is -4.554 eV/atom. The value obtained for the total magnetization is 0.37 μB per atom. The volume is 12.6 Å³/atom.

Lattice parameters (Å, degrees): 4.1431 4.1431 4.1431 60.00 60.00 60.00
Fractional coordinates of all 4 atoms:
Li 0.0000 0.0000 0.0000
Cu 0.5000 0.5000 0.5000
Cu 0.7500 0.7500 0.7500
Ru 0.2500 0.2500 0.2500

=====

[2]
Sm2Er4Tl | PBE | optimized geometry

As for the space group: P2_1/m (11). The total energy is -4.292 eV/atom. The value obtained for the total magnetization is 0.00 μB per atom. The volume is 30.7 Å³/atom.

Lattice parameters (Å, degrees): 5.8694 6.6278 11.3796 90.00 103.71 90.00
Fractional coordinates of all 14 atoms:
Sm 0.0584 0.2500 0.4775
Sm 0.3384 0.7500 0.0681
Sm 0.6616 0.2500 0.9319
Sm 0.9416 0.7500 0.5225
Er 0.1624 0.0088 0.7879
Er 0.1624 0.4912 0.7879
Er 0.2111 0.2500 0.0696
Er 0.3744 0.7500 0.3677
Er 0.6256 0.2500 0.6323
Er 0.7889 0.7500 0.9304
Er 0.8376 0.5088 0.2121
Er 0.8376 0.9912 0.2121
Tl 0.4844 0.2500 0.3417
Tl 0.5156 0.7500 0.6583

=====

[3]
Rb2InHg3Bi4 | PBE | optimized geometry

As for the space group: P-4m2 (115). The total energy is -2.268 eV/atom. The value obtained for the total magnetization is 0.00 μB per atom. The volume is 35.6 Å³/atom.

Lattice parameters (Å, degrees): 5.3928 5.3928 12.2290 90.00 90.00 90.00
Fractional coordinates of all 10 atoms:
Rb 0.0000 0.5000 0.2491
Rb 0.5000 0.0000 0.7509
In 0.0000 0.0000 0.5000
Hg 0.0000 0.5000 0.8718
Hg 0.5000 0.0000 0.1282
Hg 0.5000 0.5000 0.5000
Bi 0.0000 0.0000 0.0000
Bi 0.0000 0.5000 0.6268
Bi 0.5000 0.0000 0.3732
Bi 0.5000 0.5000 0.0000

=====

[4]
Be3SiPt | PBE | optimized geometry

As for the space group: Pm-3m (221). The value obtained for the total magnetization is 0.00 μB per atom. For the formation energy without anion corrections, the calculation gives 0.450 eV/atom. The volume is 15.5 Å³/atom.

Lattice parameters (Å, degrees): 4.2681 4.2681 4.2681 90.00 90.00 90.00
Fractional coordinates of all 5 atoms:
Be 0.0000 0.0000 0.5000
Be 0.0000 0.5000 0.0000
Be 0.5000 0.0000 0.0000
Si 0.5000 0.5000 0.5000
Pt 0.0000 0.0000 0.0000

=====

[5]
CaYRe2 | PBE | optimized geometry

As for the space group: Cmmm (65). The total energy is -7.568 eV/atom. The value obtained for the total magnetization is 0.00 μB per atom. The volume is 19.7 Å³/atom.

Lattice parameters (Å, degrees): 5.6041 5.6041 2.9189 90.00 90.00 120.62
Fractional coordinates of all 4 atoms:
Ca 0.0000 0.0000 0.0000
Y 0.5000 0.5000 0.0000
Re 0.0000 0.5000 0.5000
Re 0.5000 0.0000 0.5000

=====

[6]
Ba2NF4 | PBE | optimized geometry

As for the space group: I4/mmm (139). The value obtained for the total magnetization is 0.43 μB per atom. For the formation energy without anion corrections, the calculation gives -2.162 eV/atom. The volume is 19.9 Å³/atom.

Lattice parameters (Å, degrees): 7.7102 7.7102 7.7102 146.45 146.45 48.18
Fractional coordinates of all 7 atoms:
Ba 0.1233 0.1233 0.0000
Ba 0.8767 0.8767 0.0000
N 0.5000 0.5000 0.0000
F 0.0000 0.5000 0.5000
F 0.3000 0.3000 0.0000
F 0.5000 0.0000 0.5000
F 0.7000 0.7000 0.0000

=====

[7]
Pr3TlAs | PBE | optimized geometry

As for the space group: Pnma (62). The total energy is -4.998 eV/atom. The value obtained for the total magnetization is 0.00 μB per atom. The volume is 32.0 Å³/atom.

Lattice parameters (Å, degrees): 9.2382 4.2443 16.3432 90.00 90.00 90.00
Fractional coordinates of all 20 atoms:
Pr 0.0241 0.2500 0.1083
Pr 0.1543 0.2500 0.5282
Pr 0.1737 0.7500 0.2922
Pr 0.3263 0.2500 0.7922
Pr 0.3456 0.7500 0.0282
Pr 0.4759 0.7500 0.6083
Pr 0.5241 0.2500 0.3917
Pr 0.6544 0.2500 0.9718
Pr 0.6737 0.7500 0.2078
Pr 0.8263 0.2500 0.7078
Pr 0.8456 0.7500 0.4718
Pr 0.9759 0.7500 0.8917
Tl 0.1110 0.7500 0.6881
Tl 0.3890 0.2500 0.1881
Tl 0.6110 0.7500 0.8119
Tl 0.8890 0.2500 0.3119
As 0.1778 0.2500 0.9478
As 0.3222 0.7500 0.4478
As 0.6778 0.2500 0.5522
As 0.8222 0.7500 0.0522

=====

[8]
MnMoPd2 | PBE | optimized geometry

As for the space group: Fm-3m (225). The total energy is -7.085 eV/atom. The value obtained for the total magnetization is 0.09 μB per atom. The volume is 14.7 Å³/atom.

Lattice parameters (Å, degrees): 4.3677 4.3677 4.3677 60.00 60.00 60.00
Fractional coordinates of all 4 atoms:
Mn 0.0000 0.0000 0.0000
Mo 0.5000 0.5000 0.5000
Pd 0.2500 0.2500 0.2500
Pd 0.7500 0.7500 0.7500

=====

Question: Which formula does entry 4 have?
Answer: Be3SiPt